Here is a relaxed LaCrI2O crystal from Alexandria. Energies are from GGA+U.

Results
D(E_F) in states/eV/cell: 1.16
Energy above the most stable polymorph in this dataset in eV/f.u.: 0.000
SG: No. 123
Uncorrected energy in eV/atom: -5.288

Unit cell a=6.532 b=6.532 c=4.318 alpha=90.00 beta=90.00 gamma=90.00
Atoms (fractional coordinates):
La (0.000, 0.000, 0.000)
Cr (0.500, 0.500, 0.500)
I (0.000, 0.500, 0.000)
I (0.500, 0.000, 0.000)
O (0.000, 0.000, 0.500)